# 1
{
  "formula": "MnFe",
  "functional": "meta-GGA SCAN",
  "state": "PBEsol geometry",
  "cell": [[2.748, 0.000, 0.000], [0.000, 3.911, 0.000], [0.000, 0.000, 7.918]],
  "species": ["Mn", "Mn", "Mn", "Mn", "Fe", "Fe", "Fe", "Fe"],
  "fractional_positions": [[0.000, 0.250, 0.121], [0.000, 0.750, 0.879], [0.500, 0.250, 0.879], [0.500, 0.750, 0.121], [0.000, 0.250, 0.626], [0.000, 0.750, 0.374], [0.500, 0.250, 0.374], [0.500, 0.750, 0.626]],
  "dos_ef_per_ev_cell": 7.9,
  "formation_enthalpy_0k_ev_per_fu": 0.24,
  "rho_g_cm3": 8.6
}



# 2
{
  "formula": "Ti2MnGe2",
  "functional": "meta-GGA SCAN",
  "state": "PBEsol geometry",
  "cell": [[6.287, 0.000, 0.000], [0.000, 6.287, 0.000], [0.000, 0.000, 3.701]],
  "species": ["Ti", "Ti", "Ti", "Ti", "Mn", "Mn", "Ge", "Ge", "Ge", "Ge"],
  "fractional_positions": [[0.167, 0.333, 0.000], [0.333, 0.833, 0.000], [0.667, 0.167, 0.000], [0.833, 0.667, 0.000], [0.000, 0.000, 0.500], [0.500, 0.500, 0.500], [0.140, 0.640, 0.500], [0.360, 0.140, 0.500], [0.640, 0.860, 0.500], [0.860, 0.360, 0.500]],
  "dos_ef_per_ev_cell": 5.9,
  "formation_enthalpy_0k_ev_per_fu": -3.13,
  "rho_g_cm3": 6.7
}



# 3
{
  "formula": "NaSn3I",
  "functional": "meta-GGA SCAN",
  "state": "PBEsol geometry",
  "cell": [[5.837, 0.000, 0.000], [0.000, 5.837, 0.000], [0.000, 0.000, 5.837]],
  "species": ["Na", "Sn", "Sn", "Sn", "I"],
  "fractional_positions": [[0.000, 0.000, 0.000], [0.000, 0.500, 0.500], [0.500, 0.000, 0.500], [0.500, 0.500, 0.000], [0.500, 0.500, 0.500]],
  "dos_ef_per_ev_cell": 2.6,
  "formation_energy_uncorrected_mev_per_atom": 716,
  "rho_g_cm3": 4.2
}



# 4
{
  "formula": "TeW2Se2S",
  "functional": "meta-GGA SCAN",
  "state": "PBEsol geometry",
  "cell": [[3.289, 0.000, 0.000], [-1.645, 2.849, 0.000], [0.000, 0.000, 26.458]],
  "species": ["Te", "Te", "W", "W", "W", "W", "Se", "Se", "Se", "Se", "S", "S"],
  "fractional_positions": [[0.000, 0.000, 0.000], [0.000, 0.000, 0.144], [0.000, 0.000, 0.324], [0.000, 0.000, 0.813], [0.667, 0.333, 0.072], [0.667, 0.333, 0.565], [0.000, 0.000, 0.502], [0.000, 0.000, 0.628], [0.667, 0.333, 0.749], [0.667, 0.333, 0.876], [0.667, 0.333, 0.266], [0.667, 0.333, 0.381]],
  "dos_ef_per_ev_cell": 0.6,
  "formation_energy_uncorrected_mev_per_atom": -439,
  "rho_g_cm3": 9.2
}



# 5
{
  "formula": "TmRe2SiC",
  "functional": "meta-GGA SCAN",
  "state": "PBEsol geometry",
  "cell": [[1.942, -5.410, 0.000], [1.942, 5.410, 0.000], [0.000, 0.000, 7.196]],
  "species": ["Tm", "Tm", "Re", "Re", "Re", "Re", "Si", "Si", "C", "C"],
  "fractional_positions": [[0.042, 0.958, 0.750], [0.958, 0.042, 0.250], [0.327, 0.673, 0.562], [0.327, 0.673, 0.938], [0.673, 0.327, 0.062], [0.673, 0.327, 0.438], [0.236, 0.764, 0.250], [0.764, 0.236, 0.750], [0.500, 0.500, 0.000], [0.500, 0.500, 0.500]],
  "dos_ef_per_ev_cell": 3.8,
  "formation_energy_uncorrected_mev_per_atom": -497,
  "rho_g_cm3": 12.8
}



# 6
{
  "formula": "Zr2CrAu",
  "functional": "meta-GGA SCAN",
  "state": "PBEsol geometry",
  "cell": [[3.211, 0.000, 0.000], [0.000, 4.644, 0.000], [0.000, 0.000, 9.713]],
  "species": ["Zr", "Zr", "Zr", "Zr", "Cr", "Cr", "Au", "Au"],
  "fractional_positions": [[0.000, 0.000, 0.000], [0.000, 0.500, 0.222], [0.500, 0.000, 0.722], [0.500, 0.500, 0.500], [0.000, 0.500, 0.732], [0.500, 0.000, 0.232], [0.000, 0.000, 0.454], [0.500, 0.500, 0.954]],
  "dos_ef_per_ev_cell": 7.7,
  "formation_enthalpy_0k_ev_per_fu": -0.85,
  "rho_g_cm3": 9.9
}



# 7
{
  "formula": "ZrReNi2",
  "functional": "meta-GGA SCAN",
  "state": "PBEsol geometry",
  "cell": [[2.793, 0.000, 0.000], [0.000, 4.403, 0.000], [0.000, 0.000, 9.017]],
  "species": ["Zr", "Zr", "Re", "Re", "Ni", "Ni", "Ni", "Ni"],
  "fractional_positions": [[0.000, 0.000, 0.000], [0.500, 0.500, 0.500], [0.000, 0.500, 0.219], [0.500, 0.000, 0.719], [0.000, 0.000, 0.478], [0.000, 0.500, 0.760], [0.500, 0.000, 0.260], [0.500, 0.500, 0.978]],
  "dos_ef_per_ev_cell": 7.9,
  "formation_enthalpy_0k_ev_per_fu": 0.17,
  "rho_g_cm3": 11.8
}



# 8
{
  "formula": "Li2Mg3",
  "functional": "meta-GGA SCAN",
  "state": "PBEsol geometry",
  "cell": [[3.095, 0.000, 0.000], [-1.547, 2.680, 0.000], [0.000, 0.000, 37.828]],
  "species": ["Li", "Li", "Li", "Li", "Li", "Li", "Mg", "Mg", "Mg", "Mg", "Mg", "Mg", "Mg", "Mg", "Mg"],
  "fractional_positions": [[0.000, 0.000, 0.101], [0.000, 0.000, 0.899], [0.333, 0.667, 0.566], [0.333, 0.667, 0.767], [0.667, 0.333, 0.233], [0.667, 0.333, 0.434], [0.000, 0.000, 0.298], [0.000, 0.000, 0.500], [0.000, 0.000, 0.702], [0.333, 0.667, 0.167], [0.333, 0.667, 0.368], [0.333, 0.667, 0.965], [0.667, 0.333, 0.035], [0.667, 0.333, 0.632], [0.667, 0.333, 0.833]],
  "dos_ef_per_ev_cell": 5.2,
  "formation_enthalpy_0k_ev_per_fu": -0.16,
  "rho_g_cm3": 1.4
}



# 9
{
  "formula": "Fe2SiHg",
  "functional": "meta-GGA SCAN",
  "state": "PBEsol geometry",
  "cell": [[2.814, 0.000, 0.000], [0.000, 3.989, 0.000], [0.000, 0.000, 4.979]],
  "species": ["Fe", "Fe", "Si", "Hg"],
  "fractional_positions": [[0.000, 0.000, 0.000], [0.000, 0.500, 0.271], [0.500, 0.000, 0.370], [0.500, 0.500, 0.762]],
  "dos_ef_per_ev_cell": 2.3,
  "formation_energy_uncorrected_mev_per_atom": 192,
  "rho_g_cm3": 10.1
}



# 10
{
  "formula": "ZrTcMo",
  "functional": "meta-GGA SCAN",
  "state": "PBEsol geometry",
  "cell": [[6.128, 0.000, 0.000], [0.000, 6.128, 0.000], [0.000, 0.000, 6.128]],
  "species": ["Zr", "Zr", "Zr", "Zr", "Tc", "Tc", "Tc", "Tc", "Mo", "Mo", "Mo", "Mo"],
  "fractional_positions": [[0.000, 0.000, 0.000], [0.000, 0.500, 0.500], [0.500, 0.000, 0.500], [0.500, 0.500, 0.000], [0.250, 0.250, 0.250], [0.250, 0.750, 0.750], [0.750, 0.250, 0.750], [0.750, 0.750, 0.250], [0.250, 0.250, 0.750], [0.250, 0.750, 0.250], [0.750, 0.250, 0.250], [0.750, 0.750, 0.750]],
  "dos_ef_per_ev_cell": 13.9,
  "formation_enthalpy_0k_ev_per_fu": 3.75,
  "rho_g_cm3": 8.2
}



# 11
{
  "formula": "MgTi4O6",
  "functional": "meta-GGA SCAN",
  "state": "PBEsol geometry",
  "cell": [[1.451, -4.894, 0.000], [1.451, 4.894, 0.000], [0.000, 0.000, 14.772]],
  "species": ["Mg", "Mg", "Ti", "Ti", "Ti", "Ti", "Ti", "Ti", "Ti", "Ti", "O", "O", "O", "O", "O", "O", "O", "O", "O", "O", "O", "O"],
  "fractional_positions": [[0.159, 0.841, 0.750], [0.841, 0.159, 0.250], [0.098, 0.902, 0.130], [0.098, 0.902, 0.370], [0.354, 0.646, 0.040], [0.354, 0.646, 0.460], [0.646, 0.354, 0.540], [0.646, 0.354, 0.960], [0.902, 0.098, 0.630], [0.902, 0.098, 0.870], [0.000, 0.000, 0.000], [0.000, 0.000, 0.500], [0.186, 0.814, 0.250], [0.264, 0.736, 0.596], [0.264, 0.736, 0.904], [0.455, 0.545, 0.162], [0.455, 0.545, 0.338], [0.545, 0.455, 0.662], [0.545, 0.455, 0.838], [0.736, 0.264, 0.096], [0.736, 0.264, 0.404], [0.814, 0.186, 0.750]],
  "dos_ef_per_ev_cell": 9.6,
  "formation_energy_uncorrected_mev_per_atom": -2904,
  "rho_g_cm3": 4.9
}



# 12
{
  "formula": "Sr2CoAs",
  "functional": "meta-GGA SCAN",
  "state": "PBEsol geometry",
  "cell": [[4.287, 0.000, 0.000], [0.000, 4.608, 0.000], [0.000, 0.000, 10.444]],
  "species": ["Sr", "Sr", "Sr", "Sr", "Co", "Co", "As", "As"],
  "fractional_positions": [[0.000, 0.000, 0.000], [0.000, 0.500, 0.500], [0.500, 0.000, 0.290], [0.500, 0.500, 0.790], [0.500, 0.000, 0.610], [0.500, 0.500, 0.110], [0.000, 0.000, 0.691], [0.000, 0.500, 0.191]],
  "dos_ef_per_ev_cell": 5.7,
  "formation_enthalpy_0k_ev_per_fu": -1.51,
  "rho_g_cm3": 5.0
}